An optimized crystal structure of LaCrMo2As, computed with PBE.

For the formation energy, the calculation gives 12.73 eV per formula unit. Its total energy is -5.63 eV per atom.

It has space group P4/mmm (No. 123), with a = 4.768 Å, b = 4.768 Å, c = 5.390 Å, α = 90.00°, β = 90.00° and γ = 90.00°. The inequivalent atoms are La at (0.000, 0.000, 0.000), Cr at (0.500, 0.500, 0.500), Mo at (0.000, 0.500, 0.000) and As at (0.000, 0.000, 0.500).